1.
Below is an optimized crystal structure of LaFe2Ni, with properties calculated at the PBE level.

calculated volume: 132.4 Å³ per cell
total magnetization: 10.2 μB/cell
uncorrected energy: -52.67 eV per cell
formation energy: 125 kJ/mol of formula units

a = 3.8553 Å, b = 3.8553 Å, c = 8.9063 Å
α = 90.00°, β = 90.00°, γ = 90.00°
Space group I4/mmm (No. 139)
One atom of each set of equivalent atoms:
La (0.0000, 0.0000, 0.0000) x2
Fe (0.0000, 0.5000, 0.2500) x4
Ni (0.0000, 0.0000, 0.5000) x2

---

2.
Below is an optimized crystal structure of LaFe2Ni, with properties calculated at the PBE level.

calculated volume: 323.8 Å³ per cell
total magnetization: 17.6 μB/cell
uncorrected energy: -105.50 eV per cell
formation energy: 122 kJ/mol of formula units

a = 4.4445 Å, b = 4.4445 Å, c = 16.3945 Å
α = 90.00°, β = 90.00°, γ = 90.00°
Space group I4_1/amd (No. 141, origin choice 2)
One atom of each set of equivalent atoms:
La (0.0000, 0.2500, 0.3750) x4
Fe (0.0000, 0.0000, 0.0000) x8
Ni (0.0000, 0.2500, 0.8750) x4

---

3.
Below is an optimized crystal structure of LaFeNi2, with properties calculated at the PBE level.

calculated volume: 65.4 Å³ per cell
total magnetization: 3.2 μB/cell
uncorrected energy: -24.35 eV per cell
formation energy: 58 kJ/mol of formula units

a = 3.1400 Å, b = 3.1400 Å, c = 6.6337 Å
α = 90.00°, β = 90.00°, γ = 90.00°
Space group P4mm (No. 99)
One atom of each set of equivalent atoms:
La (0.0000, 0.0000, 0.0000) x1
Fe (0.5000, 0.5000, 0.6524) x1
Ni (0.0000, 0.0000, 0.4955) x1
Ni (0.5000, 0.5000, 0.2961) x1